VASP calculation (PBE+U) on a relaxed structure of NaV3O6.

a b c (Å): 3.0127 8.4519 9.4856
angles (deg): 72.96 89.06 89.33
Last column: nearest neighbours and their distance in Å.
Positions (direct):
Na (0.2277, 0.3388, 0.4561)  4 O 2.28-2.50
Na (0.7723, 0.6612, 0.5439)  4 O 2.28-2.50
V (0.2438, 0.6698, 0.9444)  6 O 2.00-2.08
V (0.2549, 0.0281, 0.3509)  6 O 1.85-2.05
V (0.2760, 0.2782, 0.7900)  4 O 1.82-2.00
V (0.7240, 0.7218, 0.2100)  4 O 1.82-2.00
V (0.7451, 0.9719, 0.6491)  6 O 1.85-2.05
V (0.7562, 0.3302, 0.0556)  6 O 2.00-2.08
O (0.2356, 0.8117, 0.0797)  3 V 1.94-2.00
O (0.2396, 0.0895, 0.7043)  3 V 1.96-2.00
O (0.2537, 0.8729, 0.5546)  3 V 1.99-2.05
O (0.2551, 0.2158, 0.1902)  3 V 1.85-2.03
O (0.2579, 0.4436, 0.9103)  4 V 2.03-2.08
O (0.3071, 0.6158, 0.3439)  1 V 1.82
O (0.6929, 0.3842, 0.6561)  1 V 1.82
O (0.7421, 0.5564, 0.0897)  4 V 2.03-2.08
O (0.7449, 0.7842, 0.8098)  3 V 1.85-2.03
O (0.7463, 0.1271, 0.4454)  3 V 1.99-2.05
O (0.7604, 0.9105, 0.2957)  3 V 1.96-2.00
O (0.7644, 0.1883, 0.9203)  3 V 1.94-2.00

## Properties
uncorrected energy = -146.83 eV for the cell shown
SG = P-1
relative energy among the computed polymorphs = 0.0 kJ per mole of atoms